(1)
DFT (GGA-PBE) results for a geometry-optimized RbCu2SbS4 structure.

```
8
Lattice="-3.121 4.052 4.444 3.121 -4.052 4.444 3.121 4.052 -4.444" Properties=species:S:1:pos:R:3 pbc="T T T"
Rb 0.000 0.000 0.000
Cu 3.121 0.000 3.098
Cu 0.000 4.052 1.346
Sb 0.000 0.000 4.444
S 1.711 2.728 -1.424
S 1.410 -1.324 5.869
S 1.410 1.324 3.020
S 1.711 5.377 1.424
```

* E: -0.303 Ry per atom



(2)
DFT (GGA-PBE) results for a geometry-optimized RbCu2Sb2S6 structure.

```
11
Lattice="6.607 -3.440 0.000 6.607 3.440 0.000 -6.084 0.000 7.512" Properties=species:S:1:pos:R:3 pbc="T T T"
Rb 0.000 0.000 0.000
Cu 3.202 0.000 2.136
Cu 3.928 0.000 5.376
Sb 0.678 0.000 4.275
Sb 6.452 0.000 3.237
S 1.798 1.655 2.738
S 5.332 1.655 4.774
S 5.166 0.000 1.201
S 1.964 0.000 6.311
S 1.798 -1.655 2.738
S 5.332 -1.655 4.774
```

* E: -0.301 Ry per atom



(3)
DFT (GGA-PBE) results for a geometry-optimized RbCuSb2S4 structure.

```
16
Lattice="2.007 -6.852 0.000 2.007 6.852 0.000 0.000 0.000 14.268" Properties=species:S:1:pos:R:3 pbc="T T T"
Rb 2.007 5.425 10.701
Rb 2.007 -5.425 3.567
Cu 2.007 4.634 3.567
Cu 2.007 -4.634 10.701
Sb 2.007 1.837 7.953
Sb 2.007 1.837 13.448
Sb 2.007 -1.837 0.820
Sb 2.007 -1.837 6.314
S 0.000 0.000 0.000
S 0.000 0.000 7.134
S 2.007 3.296 1.518
S 2.007 3.296 5.615
S 2.007 1.190 10.701
S 2.007 -1.190 3.567
S 2.007 -3.296 8.652
S 2.007 -3.296 12.749
```

* E: -0.307 Ry per atom



(4)
DFT (GGA-PBE) results for a geometry-optimized RbSc2CuS structure.

```
5
Lattice="5.329 0.000 0.000 0.000 5.329 0.000 0.000 0.000 4.773" Properties=species:S:1:pos:R:3 pbc="T T T"
Rb 0.000 0.000 0.000
Sc 0.000 2.665 0.000
Sc 2.665 0.000 0.000
Cu 0.000 0.000 2.386
S 2.665 2.665 2.386
```

* E: -0.199 Ry per atom



(5)
DFT (GGA-PBE) results for a geometry-optimized RbSc2CuS4 structure.

```
16
Lattice="1.909 -6.679 0.000 1.909 6.679 0.000 0.000 0.000 13.319" Properties=species:S:1:pos:R:3 pbc="T T T"
Rb 1.909 5.195 9.989
Rb 1.909 -5.195 3.330
Sc 1.909 1.767 7.512
Sc 1.909 1.767 12.467
Sc 1.909 -1.767 0.852
Sc 1.909 -1.767 5.807
Cu 1.909 4.448 3.330
Cu 1.909 -4.448 9.989
S 0.000 0.000 0.000
S 0.000 0.000 6.660
S 1.909 3.268 1.358
S 1.909 3.268 5.302
S 1.909 0.976 9.989
S 1.909 -0.976 3.330
S 1.909 -3.268 8.017
S 1.909 -3.268 11.961
```

* E: -0.424 Ry per atom



(6)
DFT (GGA-PBE) results for a geometry-optimized RbSc2Cu2S4 structure.

```
9
Lattice="7.160 -1.760 0.000 7.160 1.760 0.000 -3.864 0.000 8.037" Properties=species:S:1:pos:R:3 pbc="T T T"
Rb 0.000 0.000 0.000
Sc -0.756 0.000 4.803
Sc 11.212 0.000 3.234
Cu 2.212 0.000 4.818
Cu 8.244 0.000 3.219
S 2.382 0.000 2.303
S 4.451 0.000 5.401
S 6.006 0.000 2.636
S 8.075 0.000 5.733
```

* E: -0.395 Ry per atom



(7)
DFT (GGA-PBE) results for a geometry-optimized RbScCuS2 structure.

```
5
Lattice="5.539 0.000 0.000 0.000 5.539 0.000 0.000 0.000 4.711" Properties=species:S:1:pos:R:3 pbc="T T T"
Rb 0.000 0.000 0.000
Sc 2.770 2.770 2.355
Cu 0.000 0.000 2.355
S 0.000 2.770 0.000
S 2.770 0.000 0.000
```

* polymorph energy (0 for the lowest one): 1995 meV/atom



(8)
DFT (GGA-PBE) results for a geometry-optimized RbScCuS2 structure.

```
10
Lattice="7.631 0.000 0.000 0.000 4.902 0.000 -1.563 0.000 6.844" Properties=species:S:1:pos:R:3 pbc="T T T"
Rb -0.391 0.969 1.711
Rb -1.173 3.933 5.133
Sc 2.643 2.427 5.133
Sc 3.425 2.475 1.711
Cu 3.816 0.000 0.000
Cu 3.034 0.000 3.422
S 0.696 1.512 6.501
S 1.478 3.390 3.079
S 4.590 1.512 3.765
S 5.372 3.390 0.343
```

* polymorph energy (0 for the lowest one): 0 meV/atom



(9)
DFT (GGA-PBE) results for a geometry-optimized RbCu2SeS structure.

```
5
Lattice="4.446 0.000 0.000 0.000 4.446 0.000 0.000 0.000 6.620" Properties=species:S:1:pos:R:3 pbc="T T T"
Rb 0.000 0.000 0.000
Cu 0.000 2.223 3.310
Cu 2.223 0.000 3.310
Se 2.223 2.223 0.000
S 0.000 0.000 3.310
```

* polymorph energy (0 for the lowest one): 453 meV/atom



(10)
DFT (GGA-PBE) results for a geometry-optimized RbCu2SeS structure.

```
10
Lattice="6.933 0.000 0.000 0.000 3.975 0.000 -0.015 0.000 8.025" Properties=species:S:1:pos:R:3 pbc="T T T"
Rb 1.656 0.994 0.055
Rb 5.261 2.981 7.970
Cu 0.478 2.981 4.889
Cu 2.788 2.981 3.110
Cu 4.130 0.994 4.915
Cu 6.439 0.994 3.136
Se 2.865 2.981 5.616
Se 4.052 0.994 2.409
S 0.559 2.981 2.487
S 6.358 0.994 5.538
```

* polymorph energy (0 for the lowest one): 0 meV/atom



(11)
DFT (GGA-PBE) results for a geometry-optimized Rb2Cu2SeS2 structure.

```
7
Lattice="6.642 -2.014 0.000 6.642 2.014 0.000 -1.437 0.000 7.191" Properties=species:S:1:pos:R:3 pbc="T T T"
Rb 1.080 0.000 2.367
Rb 10.767 0.000 4.824
Cu 4.278 0.000 0.554
Cu 7.570 0.000 6.637
Se 6.642 0.000 0.000
S 1.490 0.000 5.716
S 10.357 0.000 1.474
```

* E: -0.269 Ry per atom



(12)
DFT (GGA-PBE) results for a geometry-optimized RbCuSiS3 structure.

```
12
Lattice="6.458 -3.609 0.000 6.458 3.609 0.000 -2.967 0.000 7.533" Properties=species:S:1:pos:R:3 pbc="T T T"
Rb 1.787 0.000 1.673
Rb 8.163 0.000 5.859
Cu 4.975 1.610 3.766
Cu 4.975 -1.610 3.766
Si 3.890 0.000 5.557
Si 6.060 0.000 1.975
S 4.989 1.766 1.609
S 1.910 0.000 5.175
S 4.961 1.766 5.924
S 4.989 -1.766 1.609
S 8.040 0.000 2.358
S 4.961 -1.766 5.924
```

* E: -0.330 Ry per atom



Number 1: ρ 3.42 Mg/m³. Number 2: ρ 3.15 Mg/m³. Number 3: ρ 4.41 Mg/m³. Number 4: ρ 3.32 Mg/m³. Number 5: ρ 3.59 Mg/m³. Number 6: ρ 3.53 Mg/m³. Number 7: ρ 2.97 Mg/m³. Number 8: ρ 3.35 Mg/m³. Number 9: ρ 4.11 Mg/m³. Number 10: ρ 4.86 Mg/m³. Number 11: ρ 3.81 Mg/m³. Number 12: ρ 2.58 Mg/m³.